No. 1
# ZnAs

Crystalline ZnAs at its relaxed geometry (PBE, the Alexandria database).

Calculated values
crystal system = triclinic
ΔE_f = -0.092 eV per atom
E = -3.0535 eV per atom

abc: 4.2447 4.2777 5.8605
angles: 69.21 70.50 60.46
Positions (direct):
Zn (0.0000, 0.0000, 0.0000)
Zn (0.0418, 0.8946, 0.5183)
As (0.6732, 0.6706, 0.9550)
As (0.7282, 0.5863, 0.4075)

=====

No. 2
# Zn5As4

Crystalline Zn5As4 at its relaxed geometry (PBE, the Alexandria database).

Calculated values
crystal system = tetragonal
ΔE_f = 0.192 eV per atom
E = -2.5822 eV per atom

abc: 6.6470 6.6470 6.6470
angles: 95.08 95.08 145.38
Positions (direct):
Zn (0.0000, 0.0000, 0.0000)
Zn (0.3323, 0.3323, 0.6646)
Zn (0.3323, 0.6677, 0.0000)
Zn (0.6677, 0.3323, 0.0000)
Zn (0.6677, 0.6677, 0.3354)
As (0.0000, 0.2991, 0.2991)
As (0.0000, 0.7009, 0.7009)
As (0.2991, 0.0000, 0.2991)
As (0.7009, 0.0000, 0.7009)

=====

No. 3
# ZrZnAs2

Crystalline ZrZnAs2 at its relaxed geometry (PBE, the Alexandria database).

Calculated values
crystal system = tetragonal
ΔE_f = -0.490 eV per atom
E = -5.2701 eV per atom

abc: 3.5858 3.5858 5.7627
angles: 90.00 90.00 90.00
Positions (direct):
Zr (0.0000, 0.0000, 0.0000)
Zn (0.0000, 0.0000, 0.5000)
As (0.5000, 0.5000, 0.2397)
As (0.5000, 0.5000, 0.7603)